Record 1
This record from Alexandria describes NdTm2Al after structural relaxation. The functional is PBE-GGA.

a b c (Å): 4.7630 4.7764 4.7764
angles (deg): 90.00 90.00 90.00
With the nearest neighbours (Å) after each atom.
Element x y z (fractional)
Tm 0.0000 0.0000 0.5000  4 Nd 3.37, 4 Al 3.37, 4 Tm 3.38
Tm 0.0000 0.5000 0.0000  4 Nd 3.37, 4 Al 3.37, 4 Tm 3.38
Nd 0.5000 0.0000 0.0000  8 Tm 3.37, 4 Al 3.38
Al 0.5000 0.5000 0.5000  8 Tm 3.37, 4 Nd 3.38

DFT total energy: -18.1 eV per cell
formation energy from the elements: -0.173 eV per atom
energy above the lowest structure with this stoichiometry: 29 meV per atom

Record 2
This record from Alexandria describes NdTm7Al4 after structural relaxation. The functional is PBE-GGA.

a b c (Å): 5.4517 8.9878 7.3965
angles (deg): 77.57 68.37 72.34
With the nearest neighbours (Å) after each atom.
Element x y z (fractional)
Nd 0.0000 0.0000 0.0000  2 Tm 2.73
Tm 0.7855 0.8758 0.5532  6 Tm 3.23-3.57, 4 Al 3.23-3.27
Tm 0.2145 0.1242 0.4468  6 Tm 3.23-3.57, 4 Al 3.23-3.27
Tm 0.0661 0.6083 0.2594  5 Al 3.02-3.35, 1 Tm 3.23
Tm 0.9339 0.3917 0.7406  5 Al 3.02-3.35, 1 Tm 3.23
Tm 0.3001 0.6419 0.7579  4 Al 2.90-3.13
Tm 0.5000 0.0000 0.0000  2 Nd 2.73, 4 Al 2.87-2.93
Tm 0.6999 0.3581 0.2421  4 Al 2.90-3.13
Al 0.5553 0.2353 0.6542  1 Al 2.76, 2 Tm 2.90-2.93
Al 0.4447 0.7647 0.3458  1 Al 2.76, 2 Tm 2.90-2.93
Al 0.6777 0.6680 0.9766  1 Al 2.76, 3 Tm 2.87-3.04
Al 0.3223 0.3320 0.0234  1 Al 2.76, 3 Tm 2.87-3.04

DFT total energy: -51.6 eV per cell
formation energy from the elements: -0.045 eV per atom

Record 3
This record from Alexandria describes Nd2Tm3Al3 after structural relaxation. The functional is PBE-GGA.

a b c (Å): 3.6907 5.0911 11.3655
angles (deg): 102.94 99.34 90.00
With the nearest neighbours (Å) after each atom.
Element x y z (fractional)
Nd 0.2717 0.7717 0.5435  2 Al 3.15, 4 Nd 3.28
Nd 0.7283 0.2283 0.4565  2 Al 3.15, 4 Nd 3.28
Tm 0.3840 0.3840 0.7681  6 Al 3.13-3.15
Tm 0.6160 0.6160 0.2319  6 Al 3.13-3.15
Tm 0.5000 0.0000 0.0000  8 Al 3.05-3.14
Al 0.8888 0.8888 0.7777  6 Tm 3.05-3.15, 2 Nd 3.15
Al 0.0000 0.5000 0.0000  8 Tm 3.13-3.14
Al 0.1112 0.1112 0.2223  6 Tm 3.05-3.15, 2 Nd 3.15

DFT total energy: -36.3 eV per cell
formation energy from the elements: -0.261 eV per atom

Record 4
This record from Alexandria describes NdTmAl after structural relaxation. The functional is PBE-GGA.

a b c (Å): 3.4776 3.4776 7.2137
angles (deg): 103.95 103.95 90.00
With the nearest neighbours (Å) after each atom.
Element x y z (fractional)
Tm 0.3050 0.3050 0.6099  4 Al 3.10
Nd 0.6003 0.6003 0.2007  4 Al 3.24, 4 Nd 3.48
Al 0.9447 0.9447 0.8894  4 Tm 3.10, 4 Nd 3.24

DFT total energy: -13.7 eV per cell
formation energy from the elements: -0.225 eV per atom
energy above the lowest structure with this stoichiometry: 2 meV per atom

Record 5
This record from Alexandria describes Nd2Tm6Al after structural relaxation. The functional is PBE-GGA.

a b c (Å): 3.4638 9.2881 9.8176
angles (deg): 118.23 89.95 90.00
With the nearest neighbours (Å) after each atom.
Element x y z (fractional)
Nd 0.5008 0.6787 0.3574  2 Nd 3.46, 10 Tm 3.51-3.68
Nd 0.4992 0.3213 0.6426  2 Nd 3.46, 10 Tm 3.51-3.68
Tm 0.0002 0.3330 0.3210  6 Tm 3.20-3.46, 1 Al 3.21, 2 Nd 3.51-3.52
Tm 0.9998 0.0120 0.6790  6 Tm 3.20-3.46, 1 Al 3.21, 2 Nd 3.51-3.52
Tm 0.9998 0.6670 0.6790  6 Tm 3.20-3.46, 1 Al 3.21, 2 Nd 3.51-3.52
Tm 0.5000 0.2846 0.0000  2 Al 3.16, 6 Tm 3.43-3.46
Tm 0.0002 0.9880 0.3210  6 Tm 3.20-3.46, 1 Al 3.21, 2 Nd 3.51-3.52
Tm 0.5000 0.7154 0.0000  2 Al 3.16, 6 Tm 3.43-3.46
Al 0.0000 0.0000 0.0000  8 Tm 3.16-3.21, 2 Al 3.46

DFT total energy: -39.5 eV per cell
formation energy from the elements: 0.073 eV per atom

Record 6
This record from Alexandria describes NdTm2Al after structural relaxation. The functional is PBE-GGA.

a b c (Å): 3.4076 14.2220 5.1107
angles (deg): 90.00 90.00 90.00
With the nearest neighbours (Å) after each atom.
Element x y z (fractional)
Nd 0.5000 0.6912 0.5973  1 Al 3.06, 2 Tm 3.36-3.39, 2 Nd 3.41
Nd 0.0000 0.3088 0.0973  1 Al 3.06, 2 Tm 3.36-3.39, 2 Nd 3.41
Tm 0.5000 0.1004 0.3631  5 Al 3.01-3.09
Tm 0.0000 0.4639 0.6023  6 Tm 3.24-3.41, 2 Nd 3.36-3.39
Tm 0.0000 0.8996 0.8631  5 Al 3.01-3.09
Tm 0.5000 0.5361 0.1023  6 Tm 3.24-3.41, 2 Nd 3.36-3.39
Al 0.0000 0.1112 0.8601  5 Tm 3.01-3.09, 1 Nd 3.06
Al 0.5000 0.8888 0.3601  5 Tm 3.01-3.09, 1 Nd 3.06

DFT total energy: -33.5 eV per cell
formation energy from the elements: 0.173 eV per atom
energy above the lowest structure with this stoichiometry: 374 meV per atom

Record 7
This record from Alexandria describes NdTm2Al after structural relaxation. The functional is PBE-GGA.

a b c (Å): 5.3531 5.3531 5.3531
angles (deg): 60.00 60.00 60.00
With the nearest neighbours (Å) after each atom.
Element x y z (fractional)
Tm 0.2500 0.2500 0.2500  4 Nd 3.28, 4 Al 3.28
Tm 0.7500 0.7500 0.7500  4 Al 3.28, 4 Nd 3.28
Nd 0.0000 0.0000 0.0000  8 Tm 3.28
Al 0.5000 0.5000 0.5000  8 Tm 3.28

DFT total energy: -17.4 eV per cell
formation energy from the elements: 0.018 eV per atom
energy above the lowest structure with this stoichiometry: 219 meV per atom

Record 8
This record from Alexandria describes Nd4TmAl after structural relaxation. The functional is PBE-GGA.

a b c (Å): 3.6092 3.6092 14.4785
angles (deg): 90.00 90.00 90.00
With the nearest neighbours (Å) after each atom.
Element x y z (fractional)
Nd 0.5000 0.5000 0.1752  4 Tm 3.60, 8 Nd 3.61-3.73
Nd 0.0000 0.0000 0.6369  4 Al 3.23, 4 Nd 3.61
Nd 0.0000 0.0000 0.3631  4 Al 3.23, 4 Nd 3.61
Nd 0.5000 0.5000 0.8248  4 Tm 3.60, 8 Nd 3.61-3.73
Tm 0.0000 0.0000 0.0000  8 Nd 3.60, 4 Tm 3.61
Al 0.5000 0.5000 0.5000  8 Nd 3.23, 4 Al 3.61

DFT total energy: -27.8 eV per cell
formation energy from the elements: -0.092 eV per atom
energy above the lowest structure with this stoichiometry: 0 meV per atom

Q: Which of these has the highest DFT total energy?
A: NdTmAl

Q: formation energy from the elements of number 3 (Nd2Tm3Al3)?
A: -0.261 eV per atom

Q: What is the formula in the fourth record?
A: NdTmAl